# 1
This record from Alexandria via LeMat-Bulk describes a relaxed Pa2Si crystal. The functional is GGA-PBE.

Lattice parameters (Å, degrees): 4.457 4.081 7.496 90.00 107.30 90.00
Fractional coordinates of all 6 atoms:
Si 0.653 0.000 0.305
Si 0.347 0.000 0.695
Pa 0.500 0.500 0.000
Pa 0.000 0.000 0.000
Pa 0.176 0.500 0.353
Pa 0.824 0.500 0.647

The calculated density is 12.50 Mg/m³. For the density of states at the Fermi level, the calculation gives 1.9067 states/eV per atom. The raw total energy comes out at -8.49 eV/atom.

# 2
This record from Alexandria via LeMat-Bulk describes a relaxed Pa7Si crystal. The functional is GGA-PBE.

Lattice parameters (Å, degrees): 6.423 6.423 6.423 60.00 60.00 60.00
Fractional coordinates of all 8 atoms:
Si 0.000 0.000 0.000
Pa 0.500 0.000 0.000
Pa 0.500 0.500 0.000
Pa 0.000 0.500 0.500
Pa 0.500 0.000 0.500
Pa 0.000 0.000 0.500
Pa 0.500 0.500 0.500
Pa 0.000 0.500 0.000

The calculated density is 14.58 Mg/m³. For the density of states at the Fermi level, the calculation gives 1.6500 states/eV per atom. The raw total energy comes out at -9.17 eV/atom.

# 3
This record from Alexandria via LeMat-Bulk describes a relaxed PaSi2 crystal. The functional is GGA-PBE.

Lattice parameters (Å, degrees): 5.255 5.255 5.255 60.00 60.00 60.00
Fractional coordinates of all 6 atoms:
Si 0.625 0.625 0.125
Si 0.625 0.125 0.625
Si 0.125 0.625 0.625
Si 0.625 0.625 0.625
Pa 0.250 0.250 0.250
Pa 0.000 0.000 0.000

The calculated density is 9.29 Mg/m³. For the density of states at the Fermi level, the calculation gives 1.4194 states/eV per atom. The raw total energy comes out at -7.11 eV/atom. For the polymorph energy (0 for the lowest one), the calculation gives 0.204 eV/atom.